1.
## La2HfTl4 (GGA-PBE)

Data for a relaxed La2HfTl4 crystal.

The space group is I4/mmm (No. 139) and the conventional cell measures 5.466, 5.466 and 16.417 Å, with angles of 90.00, 90.00 and 90.00 degrees. The distinct sites, in fractional coordinates, are La at (0.000, 0.000, 0.124), Hf at (0.000, 0.000, 0.500), Tl at (0.000, 0.000, 0.322) and Tl at (0.000, 0.500, 0.000).

As for the magnetic moment: 0.000 μB per cell.

***

2.
## LaHfTl2 (GGA-PBE)

Data for a relaxed LaHfTl2 crystal.

The space group is I-42d (No. 122) and the conventional cell measures 5.014, 5.014 and 20.397 Å, with angles of 90.00, 90.00 and 90.00 degrees. The distinct sites, in fractional coordinates, are La at (0.000, 0.000, 0.000), Hf at (0.000, 0.000, 0.500) and Tl at (0.184, 0.250, 0.625).

As for the magnetic moment: 0.000 μB per cell.

***

3.
## LaHfTl2 (GGA-PBE)

Data for a relaxed LaHfTl2 crystal.

The space group is P4/mmm (No. 123) and the conventional cell measures 3.394, 3.394 and 9.027 Å, with angles of 90.00, 90.00 and 90.00 degrees. The distinct sites, in fractional coordinates, are La at (0.000, 0.000, 0.000), Hf at (0.000, 0.000, 0.500) and Tl at (0.500, 0.500, 0.272).

As for the magnetic moment: 0.000 μB per cell.

***

4.
## LaHfTl3 (GGA-PBE)

Data for a relaxed LaHfTl3 crystal.

The space group is Pm-3m (No. 221) and the conventional cell measures 5.498, 5.498 and 5.498 Å, with angles of 90.00, 90.00 and 90.00 degrees. The distinct sites, in fractional coordinates, are La at (0.000, 0.000, 0.000), Hf at (0.500, 0.500, 0.500) and Tl at (0.000, 0.500, 0.500).

As for the magnetic moment: 0.000 μB per cell.

***

5.
## LaHf2TlZn (GGA-PBE)

Data for a relaxed LaHf2TlZn crystal.

The space group is P4/mmm (No. 123) and the conventional cell measures 5.348, 5.348 and 5.917 Å, with angles of 90.00, 90.00 and 90.00 degrees. The distinct sites, in fractional coordinates, are La at (0.000, 0.000, 0.000), Hf at (0.000, 0.500, 0.500), Tl at (0.000, 0.000, 0.500) and Zn at (0.500, 0.500, 0.000).

As for the magnetic moment: 0.001 μB per cell.

***

6.
## La2TmHf (GGA-PBE)

Data for a relaxed La2TmHf crystal.

The space group is P4/mmm (No. 123) and the conventional cell measures 4.058, 4.058 and 7.433 Å, with angles of 90.00, 90.00 and 90.00 degrees. The distinct sites, in fractional coordinates, are La at (0.000, 0.000, 0.229), Tm at (0.500, 0.500, 0.500) and Hf at (0.500, 0.500, 0.000).

As for the magnetic moment: 0.000 μB per cell.

***

7.
## LaTm2Hf (GGA-PBE)

Data for a relaxed LaTm2Hf crystal.

The space group is R3m (No. 160, hexagonal axes) and the conventional cell measures 3.4314, 3.4314 and 34.1249 Å, with angles of 90.00, 90.00 and 120.00 degrees. The distinct sites, in fractional coordinates, are La at (0.0000, 0.0000, 0.0000), Tm at (0.0000, 0.0000, 0.5748), Tm at (0.0000, 0.0000, 0.7572) and Hf at (0.0000, 0.0000, 0.1657).

As for the magnetic moment: 0.000 μB per cell.

***

8.
## LaTm2Hf (GGA-PBE)

Data for a relaxed LaTm2Hf crystal.

The space group is R-3m (No. 166, hexagonal axes) and the conventional cell measures 3.3411, 3.3411 and 36.2240 Å, with angles of 90.00, 90.00 and 120.00 degrees. The distinct sites, in fractional coordinates, are La at (0.0000, 0.0000, 0.0000), Tm at (0.0000, 0.0000, 0.4147) and Hf at (0.0000, 0.0000, 0.5000).

As for the magnetic moment: 0.000 μB per cell.

***

9.
## LaTm2Hf (GGA-PBE)

Data for a relaxed LaTm2Hf crystal.

The space group is P4/mmm (No. 123) and the conventional cell measures 3.946, 3.946 and 7.666 Å, with angles of 90.00, 90.00 and 90.00 degrees. The distinct sites, in fractional coordinates, are La at (0.000, 0.000, 0.000), Tm at (0.500, 0.500, 0.289) and Hf at (0.000, 0.000, 0.500).

As for the magnetic moment: 0.000 μB per cell.

***

10.
## La2TmHf (GGA-PBE)

Data for a relaxed La2TmHf crystal.

The space group is R-3m (No. 166, hexagonal axes) and the conventional cell measures 3.3741, 3.3741 and 36.8143 Å, with angles of 90.00, 90.00 and 120.00 degrees. The distinct sites, in fractional coordinates, are La at (0.0000, 0.0000, 0.0835), Tm at (0.0000, 0.0000, 0.5000) and Hf at (0.0000, 0.0000, 0.0000).

As for the magnetic moment: 0.000 μB per cell.

***

11.
## La2TmHf (GGA-PBE)

Data for a relaxed La2TmHf crystal.

The space group is P4/mmm (No. 123) and the conventional cell measures 5.025, 5.025 and 4.810 Å, with angles of 90.00, 90.00 and 90.00 degrees. The distinct sites, in fractional coordinates, are La at (0.000, 0.500, 0.000), Tm at (0.000, 0.000, 0.500) and Hf at (0.500, 0.500, 0.500).

As for the magnetic moment: 0.000 μB per cell.

***

12.
## LaTm2Hf (GGA-PBE)

Data for a relaxed LaTm2Hf crystal.

The space group is P4/mmm (No. 123) and the conventional cell measures 4.852, 4.852 and 4.910 Å, with angles of 90.00, 90.00 and 90.00 degrees. The distinct sites, in fractional coordinates, are La at (0.000, 0.000, 0.000), Tm at (0.000, 0.500, 0.500) and Hf at (0.500, 0.500, 0.000).

As for the magnetic moment: 0.000 μB per cell.

***

13.
## LaHfV3 (GGA-PBE)

Data for a relaxed LaHfV3 crystal.

The space group is Pm-3m (No. 221) and the conventional cell measures 4.894, 4.894 and 4.894 Å, with angles of 90.00, 90.00 and 90.00 degrees. The distinct sites, in fractional coordinates, are La at (0.000, 0.000, 0.000), Hf at (0.500, 0.500, 0.500) and V at (0.000, 0.500, 0.500).

As for the magnetic moment: 5.555 μB per cell.

***

14.
## La2Hf2V (GGA-PBE)

Data for a relaxed La2Hf2V crystal.

The space group is P4/mbm (No. 127) and the conventional cell measures 7.056, 7.056 and 5.414 Å, with angles of 90.00, 90.00 and 90.00 degrees. The distinct sites, in fractional coordinates, are La at (0.169, 0.331, 0.000), Hf at (0.151, 0.651, 0.500) and V at (0.000, 0.000, 0.500).

As for the magnetic moment: 5.495 μB per cell.

***

15.
## LaHf2V (GGA-PBE)

Data for a relaxed LaHf2V crystal.

The space group is I-42d (No. 122) and the conventional cell measures 4.298, 4.298 and 21.161 Å, with angles of 90.00, 90.00 and 90.00 degrees. The distinct sites, in fractional coordinates, are La at (0.000, 0.000, 0.000), Hf at (0.238, 0.250, 0.625) and V at (0.000, 0.000, 0.500).

As for the magnetic moment: 9.384 μB per cell.

***

16.
## LaHf3V (GGA-PBE)

Data for a relaxed LaHf3V crystal.

The space group is Pm-3m (No. 221) and the conventional cell measures 5.117, 5.117 and 5.117 Å, with angles of 90.00, 90.00 and 90.00 degrees. The distinct sites, in fractional coordinates, are La at (0.000, 0.000, 0.000), Hf at (0.000, 0.000, 0.500) and V at (0.500, 0.500, 0.500).

As for the magnetic moment: 2.574 μB per cell.

***

17.
## La2Hf2V (GGA-PBE)

Data for a relaxed La2Hf2V crystal.

The space group is I4/mmm (No. 139) and the conventional cell measures 4.017, 4.017 and 16.438 Å, with angles of 90.00, 90.00 and 90.00 degrees. The distinct sites, in fractional coordinates, are La at (0.000, 0.500, 0.250), Hf at (0.000, 0.000, 0.081) and V at (0.000, 0.000, 0.500).

As for the magnetic moment: 3.103 μB per cell.

***

18.
## LaHf2V (GGA-PBE)

Data for a relaxed LaHf2V crystal.

The space group is Fm-3m (No. 225) and the conventional cell measures 7.114, 7.114 and 7.114 Å, with angles of 90.00, 90.00 and 90.00 degrees. The distinct sites, in fractional coordinates, are La at (0.000, 0.000, 0.000), Hf at (0.250, 0.250, 0.250) and V at (0.000, 0.000, 0.500).

As for the magnetic moment: 9.981 μB per cell.

***

19.
## LaHf3V (GGA-PBE)

Data for a relaxed LaHf3V crystal.

The space group is Pm-3m (No. 221) and the conventional cell measures 5.028, 5.028 and 5.028 Å, with angles of 90.00, 90.00 and 90.00 degrees. The distinct sites, in fractional coordinates, are La at (0.000, 0.000, 0.000), Hf at (0.000, 0.500, 0.500) and V at (0.500, 0.500, 0.500).

As for the magnetic moment: 0.015 μB per cell.

***

20.
## La2HfVZn (GGA-PBE)

Data for a relaxed La2HfVZn crystal.

The space group is P4/mmm (No. 123) and the conventional cell measures 5.559, 5.559 and 4.680 Å, with angles of 90.00, 90.00 and 90.00 degrees. The distinct sites, in fractional coordinates, are La at (0.000, 0.500, 0.000), Hf at (0.000, 0.000, 0.500), V at (0.500, 0.500, 0.500) and Zn at (0.500, 0.500, 0.000).

As for the magnetic moment: 0.004 μB per cell.

***

21.
## La2HfW (GGA-PBE)

Data for a relaxed La2HfW crystal.

The space group is I-42d (No. 122) and the conventional cell measures 8.641, 8.641 and 5.899 Å, with angles of 90.00, 90.00 and 90.00 degrees. The distinct sites, in fractional coordinates, are La at (0.198, 0.250, 0.125), Hf at (0.000, 0.000, 0.500) and W at (0.000, 0.000, 0.000).

As for the magnetic moment: 0.000 μB per cell.

***

22.
## LaHfW2 (GGA-PBE)

Data for a relaxed LaHfW2 crystal.

The space group is Fm-3m (No. 225) and the conventional cell measures 6.893, 6.893 and 6.893 Å, with angles of 90.00, 90.00 and 90.00 degrees. The distinct sites, in fractional coordinates, are La at (0.000, 0.000, 0.000), Hf at (0.000, 0.000, 0.500) and W at (0.250, 0.250, 0.250).

As for the magnetic moment: 0.000 μB per cell.

***

23.
## LaHf2W (GGA-PBE)

Data for a relaxed LaHf2W crystal.

The space group is Fm-3m (No. 225) and the conventional cell measures 7.032, 7.032 and 7.032 Å, with angles of 90.00, 90.00 and 90.00 degrees. The distinct sites, in fractional coordinates, are La at (0.000, 0.000, 0.000), Hf at (0.250, 0.250, 0.250) and W at (0.000, 0.000, 0.500).

As for the magnetic moment: 0.000 μB per cell.

***

24.
## La2HfW (GGA-PBE)

Data for a relaxed La2HfW crystal.

The space group is Fm-3m (No. 225) and the conventional cell measures 7.407, 7.407 and 7.407 Å, with angles of 90.00, 90.00 and 90.00 degrees. The distinct sites, in fractional coordinates, are La at (0.250, 0.250, 0.250), Hf at (0.000, 0.000, 0.000) and W at (0.000, 0.000, 0.500).

As for the magnetic moment: 0.046 μB per cell.

***

25.
## LaHf2W (GGA-PBE)

Data for a relaxed LaHf2W crystal.

The space group is I-42d (No. 122) and the conventional cell measures 4.307, 4.307 and 20.783 Å, with angles of 90.00, 90.00 and 90.00 degrees. The distinct sites, in fractional coordinates, are La at (0.000, 0.000, 0.000), Hf at (0.232, 0.250, 0.625) and W at (0.000, 0.000, 0.500).

As for the magnetic moment: 0.000 μB per cell.

***

26.
## LaHfW2 (GGA-PBE)

Data for a relaxed LaHfW2 crystal.

The space group is I-42d (No. 122) and the conventional cell measures 7.885, 7.885 and 5.686 Å, with angles of 90.00, 90.00 and 90.00 degrees. The distinct sites, in fractional coordinates, are La at (0.000, 0.000, 0.000), Hf at (0.000, 0.000, 0.500) and W at (0.229, 0.750, 0.625).

As for the magnetic moment: 0.000 μB per cell.

***

27.
## LaHfW3 (GGA-PBE)

Data for a relaxed LaHfW3 crystal.

The space group is Pm-3m (No. 221) and the conventional cell measures 4.932, 4.932 and 4.932 Å, with angles of 90.00, 90.00 and 90.00 degrees. The distinct sites, in fractional coordinates, are La at (0.000, 0.000, 0.000), Hf at (0.500, 0.500, 0.500) and W at (0.000, 0.500, 0.500).

As for the magnetic moment: 0.790 μB per cell.

***

28.
## La3HfW (GGA-PBE)

Data for a relaxed La3HfW crystal.

The space group is Pm-3m (No. 221) and the conventional cell measures 5.539, 5.539 and 5.539 Å, with angles of 90.00, 90.00 and 90.00 degrees. The distinct sites, in fractional coordinates, are La at (0.000, 0.000, 0.500), Hf at (0.500, 0.500, 0.500) and W at (0.000, 0.000, 0.000).

As for the magnetic moment: 0.000 μB per cell.

***

Number 1: Fermi-level density of states 11.5 states/eV/f.u., E_tot -57.5 eV for the cell shown. Number 2: Fermi-level density of states 4.7 states/eV/f.u., E_tot -72.6 eV for the cell shown. Number 3: Fermi-level density of states 4.0 states/eV/f.u., E_tot -20.0 eV for the cell shown. Number 4: Fermi-level density of states 2.6 states/eV/f.u., E_tot -21.0 eV for the cell shown. Number 5: Fermi-level density of states 10.7 states/eV/f.u., E_tot -22.8 eV for the cell shown. Number 6: Fermi-level density of states 3.8 states/eV/f.u., E_tot -23.5 eV for the cell shown. Number 7: Fermi-level density of states 5.6 states/eV/f.u., E_tot -70.1 eV for the cell shown. Number 8: Fermi-level density of states 6.3 states/eV/f.u., E_tot -66.8 eV for the cell shown. Number 9: Fermi-level density of states 8.3 states/eV/f.u., E_tot -23.0 eV for the cell shown. Number 10: Fermi-level density of states 5.7 states/eV/f.u., E_tot -68.4 eV for the cell shown. Number 11: Fermi-level density of states 4.3 states/eV/f.u., E_tot -23.6 eV for the cell shown. Number 12: Fermi-level density of states 5.8 states/eV/f.u., E_tot -23.2 eV for the cell shown. Number 13: Fermi-level density of states 10.9 states/eV/f.u., E_tot -36.5 eV for the cell shown. Number 14: Fermi-level density of states 5.6 states/eV/f.u., E_tot -73.2 eV for the cell shown. Number 15: Fermi-level density of states 5.3 states/eV/f.u., E_tot -123.9 eV for the cell shown. Number 16: Fermi-level density of states 7.6 states/eV/f.u., E_tot -35.0 eV for the cell shown. Number 17: Fermi-level density of states 7.2 states/eV/f.u., E_tot -67.5 eV for the cell shown. Number 18: Fermi-level density of states 6.1 states/eV/f.u., E_tot -128.3 eV for the cell shown. Number 19: Fermi-level density of states 9.1 states/eV/f.u., E_tot -41.4 eV for the cell shown. Number 20: Fermi-level density of states 13.0 states/eV/f.u., E_tot -25.6 eV for the cell shown. Number 21: Fermi-level density of states 6.3 states/eV/f.u., E_tot -115.9 eV for the cell shown. Number 22: Fermi-level density of states 4.2 states/eV/f.u., E_tot -152.4 eV for the cell shown. Number 23: Fermi-level density of states 5.8 states/eV/f.u., E_tot -144.5 eV for the cell shown. Number 24: Fermi-level density of states 7.9 states/eV/f.u., E_tot -119.1 eV for the cell shown. Number 25: Fermi-level density of states 5.3 states/eV/f.u., E_tot -136.4 eV for the cell shown. Number 26: Fermi-level density of states 3.5 states/eV/f.u., E_tot -144.5 eV for the cell shown. Number 27: Fermi-level density of states 7.6 states/eV/f.u., E_tot -44.5 eV for the cell shown. Number 28: Fermi-level density of states 11.3 states/eV/f.u., E_tot -33.3 eV for the cell shown.